1.
Below is a geometry-optimized Sm2YMg3Ir2Pt structure, with properties calculated at the PBE level.

Structure (extended XYZ):
```
9
Lattice="-0.686 0.866 -3.915 -3.153 -6.630 -0.913 -4.118 5.809 2.006" Properties=species:S:1:pos:R:3 pbc="T T T"
Ir -3.816 -2.028 -1.893
Ir -4.135 2.074 -0.930
Mg -1.127 -1.192 -2.179
Mg -1.363 1.854 -1.465
Mg -5.816 -0.185 -1.135
Pt -0.013 -0.001 0.002
Sm -1.849 -3.878 -0.533
Sm -2.413 3.397 1.174
Y -2.996 -0.338 0.450
```

Results
Space-group type: Amm2
V (Å³ per cell): 192.8

***

2.
Below is a geometry-optimized Tb2TmMg3Ir2Pt structure, with properties calculated at the PBE level.

Structure (extended XYZ):
```
9
Lattice="-3.785 -0.988 -0.961 1.177 -6.815 2.372 -2.500 5.085 4.620" Properties=species:S:1:pos:R:3 pbc="T T T"
Ir -1.949 -3.315 2.641
Ir -3.158 0.600 3.381
Mg -1.603 -2.181 0.113
Mg -2.512 0.762 0.669
Mg -2.887 -1.794 4.774
Pt -0.004 -0.005 0.020
Tb 0.690 -3.997 1.393
Tb -1.466 2.982 2.712
Tm -0.544 -0.711 2.873
```

Results
Space-group type: Amm2
V (Å³ per cell): 186.7

***

3.
Below is a geometry-optimized Tb2YMg3Ir2Pt structure, with properties calculated at the PBE level.

Structure (extended XYZ):
```
9
Lattice="-3.907 -0.757 -0.741 -1.609 1.445 7.008 -0.101 5.389 -4.974" Properties=species:S:1:pos:R:3 pbc="T T T"
Ir -3.060 2.380 2.644
Ir -2.557 3.696 -1.352
Mg -3.165 0.709 4.906
Mg -2.376 1.311 0.132
Mg -2.029 3.678 -4.116
Pt 0.000 0.000 0.000
Tb -0.665 0.597 2.897
Tb -0.042 2.228 -2.056
Y -1.003 4.009 1.193
```

Results
Space-group type: Amm2
V (Å³ per cell): 188.5

***

4.
Below is a geometry-optimized Tm3Mg3Ir2Pt structure, with properties calculated at the PBE level.

Structure (extended XYZ):
```
9
Lattice="-5.904 -3.394 -2.498 4.756 -3.575 4.149 -2.024 1.109 3.276" Properties=species:S:1:pos:R:3 pbc="T T T"
Ir -2.350 -3.454 -0.283
Ir 1.203 -3.515 1.933
Mg -4.431 -2.547 -1.875
Mg -0.286 -1.739 0.412
Mg 3.569 -2.683 3.114
Pt -1.012 0.555 1.638
Tm -3.444 -0.843 0.609
Tm 0.947 -0.918 3.347
Tm -1.687 -3.544 2.609
```

Results
Space-group type: P-62m
V (Å³ per cell): 182.6

***

5.
Below is a geometry-optimized Y2TmMg3Ir2Pt structure, with properties calculated at the PBE level.

Structure (extended XYZ):
```
9
Lattice="4.028 0.000 0.000 0.000 6.317 3.662 0.000 -6.317 3.662" Properties=species:S:1:pos:R:3 pbc="T T T"
Ir 2.014 2.070 3.670
Ir 2.014 -2.070 3.670
Mg 2.014 0.000 1.817
Mg 2.014 1.569 6.413
Mg 2.014 -1.569 6.413
Pt 0.000 0.000 7.299
Tm 0.000 0.000 4.316
Y 0.000 2.610 1.513
Y 0.000 -2.610 1.513
```

Results
Space-group type: Amm2
V (Å³ per cell): 186.4

***

6.
Below is a geometry-optimized Tm3MgZn2IrPt2 structure, with properties calculated at the PBE level.

Structure (extended XYZ):
```
9
Lattice="3.921 0.000 0.000 0.000 6.230 3.611 0.000 -6.230 3.611" Properties=species:S:1:pos:R:3 pbc="T T T"
Ir 0.000 0.000 7.173
Mg 1.961 0.000 1.750
Pt 1.961 2.040 3.587
Pt 1.961 -2.040 3.587
Tm 0.000 3.646 5.034
Tm 0.000 0.000 4.428
Tm 0.000 -3.646 5.034
Zn 1.961 4.656 2.758
Zn 1.961 -4.656 2.758
```

Results
Space-group type: Amm2
V (Å³ per cell): 176.4

***

Number 1: raw total energy -51.070 eV/f.u.. Number 2: raw total energy -49.238 eV/f.u.. Number 3: raw total energy -51.144 eV/f.u.. Number 4: raw total energy -49.086 eV/f.u.. Number 5: raw total energy -52.887 eV/f.u.. Number 6: raw total energy -46.587 eV/f.u..